This record from Alexandria via LeMat-Bulk describes an optimized crystal structure of CaAsBr2. The functional is GGA-PBEsol.

formation energy without anion corrections	-57.3	kJ per mole of atoms
E above lowest polymorph	365	meV/atom
total magnetization	0.0	μB per formula unit
space group	Fm-3m, No. 225

Structure (POSCAR):
```
CaAsBr2
1.0
5.1391 0.0000 0.0000
2.5695 4.4506 0.0000
2.5695 1.4835 4.1961
As Ca Br
1 1 2
Direct
0.0000 0.0000 0.0000
0.5000 0.5000 0.5000
0.2500 0.2500 0.2500
0.7500 0.7500 0.7500
```